No. 1
VASP calculation (GGA-PBE) on a relaxed PuInSi2 crystal.

POSCAR file:
```
PuInSi2
1.0
4.538 0.000 0.000
-2.269 3.930 0.000
0.000 0.000 13.844
Pu In Si
3 3 6
Cartesian
0.000 0.000 0.000
0.000 2.620 9.230
2.269 1.310 4.615
0.000 0.000 6.922
0.000 2.620 2.307
2.269 1.310 11.537
0.000 0.000 3.134
0.000 0.000 10.710
0.000 2.620 6.095
0.000 2.620 12.364
2.269 1.310 1.481
2.269 1.310 7.749
```

For the formation energy (no corrections), the calculation gives 0.11 eV per formula unit. As for the density: 8.4 g cm⁻³. As for the space group: No. 166. The distance to the lowest polymorph of the same formula is 217 meV per atom. As for the crystal system: trigonal.



No. 2
VASP calculation (GGA-PBE) on a relaxed PuInSi2 crystal.

POSCAR file:
```
PuInSi2
1.0
4.423 0.000 0.000
0.000 4.423 0.000
0.000 0.000 4.003
Pu In Si
1 1 2
Cartesian
0.000 0.000 0.000
2.212 2.212 0.000
0.000 2.212 2.001
2.212 0.000 2.001
```

For the formation energy (no corrections), the calculation gives -0.76 eV per formula unit. As for the density: 8.8 g cm⁻³. As for the space group: No. 123. The distance to the lowest polymorph of the same formula is 0 meV per atom. As for the crystal system: tetragonal.



No. 3
VASP calculation (GGA-PBE) on a relaxed SmPu4In15 crystal.

POSCAR file:
```
SmPu4In15
1.0
4.657 0.000 0.000
0.000 4.657 0.000
0.000 0.000 23.358
Sm Pu In
1 4 15
Cartesian
0.000 0.000 0.000
0.000 0.000 4.681
0.000 0.000 9.351
0.000 0.000 14.007
0.000 0.000 18.677
0.000 2.328 2.372
0.000 2.328 7.025
0.000 2.328 11.679
0.000 2.328 16.333
0.000 2.328 20.986
2.328 0.000 2.372
2.328 0.000 7.025
2.328 0.000 11.679
2.328 0.000 16.333
2.328 0.000 20.986
2.328 2.328 0.000
2.328 2.328 4.693
2.328 2.328 9.350
2.328 2.328 14.008
2.328 2.328 18.665
```

The formation energy comes out at -0.266 eV per atom. As for the density: 9.3 g cm⁻³. As for the space group: No. 123. As for the crystal system: tetragonal.



No. 4
VASP calculation (GGA-PBE) on a relaxed Sm4PuIn5 crystal.

POSCAR file:
```
Sm4PuIn5
1.0
3.503 0.000 0.000
0.000 3.503 0.000
0.000 0.000 22.457
Sm Pu In
4 1 5
Cartesian
0.000 0.000 2.230
0.000 0.000 6.692
0.000 0.000 15.765
0.000 0.000 20.227
0.000 0.000 11.229
1.752 1.752 0.000
1.752 1.752 4.473
1.752 1.752 8.975
1.752 1.752 13.482
1.752 1.752 17.984
```

The formation energy comes out at -0.407 eV per atom. As for the density: 8.6 g cm⁻³. As for the space group: No. 123. As for the crystal system: tetragonal.



No. 5
VASP calculation (GGA-PBE) on a relaxed Sm3PuIn12 crystal.

POSCAR file:
```
Sm3PuIn12
1.0
4.671 0.000 0.000
0.000 4.671 0.000
0.000 0.000 18.742
Sm Pu In
3 1 12
Cartesian
0.000 0.000 0.000
0.000 0.000 4.680
0.000 0.000 14.062
0.000 0.000 9.371
0.000 2.335 2.348
0.000 2.335 7.062
0.000 2.335 11.680
0.000 2.335 16.394
2.335 0.000 2.348
2.335 0.000 7.062
2.335 0.000 11.680
2.335 0.000 16.394
2.335 2.335 0.000
2.335 2.335 4.706
2.335 2.335 9.371
2.335 2.335 14.036
```

The formation energy comes out at -0.397 eV per atom. As for the density: 8.4 g cm⁻³. As for the space group: No. 123. As for the crystal system: tetragonal.



No. 6
VASP calculation (GGA-PBE) on a relaxed SmPu2In crystal.

POSCAR file:
```
SmPu2In
1.0
7.629 0.000 0.000
0.000 7.629 0.000
0.000 0.000 7.629
Sm Pu In
4 8 4
Cartesian
0.000 0.000 0.000
0.000 3.814 3.814
3.814 0.000 3.814
3.814 3.814 0.000
1.907 1.907 1.907
1.907 1.907 5.721
1.907 5.721 1.907
1.907 5.721 5.721
5.721 1.907 1.907
5.721 1.907 5.721
5.721 5.721 1.907
5.721 5.721 5.721
0.000 0.000 3.814
0.000 3.814 0.000
3.814 0.000 0.000
3.814 3.814 3.814
```

The formation energy comes out at 0.107 eV per atom. As for the density: 11.3 g cm⁻³. As for the space group: No. 225. The distance to the lowest polymorph of the same formula is 213 meV per atom. As for the crystal system: cubic.



No. 7
VASP calculation (GGA-PBE) on a relaxed SmPu2In9 crystal.

POSCAR file:
```
SmPu2In9
1.0
4.665 0.000 0.000
0.000 4.665 0.000
0.000 0.000 14.012
Sm Pu In
1 2 9
Cartesian
0.000 0.000 0.000
0.000 0.000 4.671
0.000 0.000 9.342
0.000 2.332 2.366
0.000 2.332 7.006
0.000 2.332 11.646
2.332 0.000 2.366
2.332 0.000 7.006
2.332 0.000 11.646
2.332 2.332 0.000
2.332 2.332 4.686
2.332 2.332 9.326
```

The formation energy comes out at -0.304 eV per atom. As for the density: 9.1 g cm⁻³. As for the space group: No. 123. As for the crystal system: tetragonal.



No. 8
VASP calculation (GGA-PBE) on a relaxed Sm6PuIn5 crystal.

POSCAR file:
```
Sm6PuIn5
1.0
-2.624 4.128 7.902
2.624 -4.128 7.902
2.624 4.128 -7.902
Sm Pu In
6 1 5
Cartesian
2.624 2.033 -2.649
0.000 1.954 0.000
2.624 2.033 2.649
0.000 2.095 5.253
0.000 6.302 0.000
0.000 2.095 10.551
0.000 0.000 7.902
2.624 0.000 0.000
0.000 0.000 2.690
2.624 0.000 5.436
0.000 4.128 2.466
0.000 0.000 13.113
```

The formation energy comes out at -0.366 eV per atom. As for the density: 8.3 g cm⁻³. As for the space group: No. 71. As for the crystal system: orthorhombic.



| no. | E_tot (eV per atom) |
| --- | --- |
| 1 | -6.95 |
| 2 | -7.17 |
| 3 | -5.42 |
| 4 | -5.10 |
| 5 | -4.23 |
| 6 | -8.92 |
| 7 | -5.14 |
| 8 | -5.06 |